Compound: Li2Zn2Cd2PtAu
Source: the Open Quantum Materials Database
Functional: PBE
Structure: optimized geometry

The structure in POSCAR format:
```
Li2Zn2Cd2PtAu
1.0
4.4882 0.0000 0.0000
0.0000 4.4882 0.0000
0.0000 0.0000 6.4124
Li Zn Cd Pt Au
2 2 2 1 1
direct
0.0000 0.0000 0.0000
0.5000 0.5000 0.5000
0.0000 0.5000 0.2383
0.5000 0.0000 0.7617
0.0000 0.5000 0.7544
0.5000 0.0000 0.2456
0.5000 0.5000 0.0000
0.0000 0.0000 0.5000
```

- energy (eV per atom) = -2.575
- V (Å³ per atom) = 16.1